[1]
# AgSbAsSe2, relaxed, DFT GGA-PBE
# E_tot (eV/cell): -15.36
# DOS(E_F) (states/eV/f.u.): 5.12
# Crystal system: tetragonal
# ρ (Mg/m³): 6.005
data_AgSbAsSe2
_symmetry_space_group_name_H-M 'P 4/m m m'
_symmetry_Int_Tables_number 123
_symmetry_space_group_name_Hall '-P 4 2'
_cell_length_a 5.082
_cell_length_b 5.082
_cell_length_c 4.952
_cell_angle_alpha 90.00
_cell_angle_beta 90.00
_cell_angle_gamma 90.00
loop_
_atom_site_label
_atom_site_type_symbol
_atom_site_fract_x
_atom_site_fract_y
_atom_site_fract_z
Ag1 Ag 0.000 0.000 0.000
Sb1 Sb 0.500 0.500 0.500
As1 As 0.000 0.000 0.500
Se1 Se 0.000 0.500 0.000

[2]
# AcHf4Se8, relaxed, DFT GGA-PBE
# E_tot (eV/cell): -271.56
# DOS(E_F) (states/eV/f.u.): 7.28
# Crystal system: trigonal
# ρ (Mg/m³): 7.217
data_AcHf4Se8
_symmetry_space_group_name_H-M 'R -3 m'
_symmetry_Int_Tables_number 166
_symmetry_space_group_name_Hall '-R 3 2"'
_cell_length_a 7.5264
_cell_length_b 7.5264
_cell_length_c 22.1292
_cell_angle_alpha 90.00
_cell_angle_beta 90.00
_cell_angle_gamma 120.00
loop_
_atom_site_label
_atom_site_type_symbol
_atom_site_fract_x
_atom_site_fract_y
_atom_site_fract_z
Ac1 Ac 0.0000 0.0000 0.0000
Hf1 Hf 0.0000 0.0000 0.5000
Hf2 Hf 0.0000 0.5000 0.5000
Se1 Se 0.0000 0.0000 0.2379
Se2 Se 0.0087 0.5044 0.2399

[3]
# K2ZrRu, relaxed, DFT GGA-PBE
# E_tot (eV/cell): -36.57
# E_form (eV/atom): 0.43
# DOS(E_F) (states/eV/f.u.): 2.97
# Crystal system: monoclinic
# ρ (Mg/m³): 3.283
data_K2ZrRu
_symmetry_space_group_name_H-M 'C 1 m 1'
_symmetry_Int_Tables_number 8
_cell_length_a 6.854
_cell_length_b 3.460
_cell_length_c 11.588
_cell_angle_alpha 90.00
_cell_angle_beta 95.37
_cell_angle_gamma 90.00
loop_
_symmetry_equiv_pos_as_xyz
'x,y,z'
'x,-y,z'
'x+1/2,y+1/2,z'
'x+1/2,-y+1/2,z'
loop_
_atom_site_label
_atom_site_type_symbol
_atom_site_fract_x
_atom_site_fract_y
_atom_site_fract_z
K1 K 0.000 0.000 0.000
K2 K 0.207 0.000 0.635
Zr1 Zr 0.262 0.500 0.297
Ru1 Ru 0.470 0.000 0.418

[4]
# TeP2RuS, relaxed, DFT GGA-PBE
# E_tot (eV/cell): -18.73
# DOS(E_F) (states/eV/f.u.): 6.31
# Crystal system: tetragonal
# ρ (Mg/m³): 4.331
data_TeP2RuS
_symmetry_space_group_name_H-M 'P 4/m m m'
_symmetry_Int_Tables_number 123
_symmetry_space_group_name_Hall '-P 4 2'
_cell_length_a 5.007
_cell_length_b 5.007
_cell_length_c 4.936
_cell_angle_alpha 90.00
_cell_angle_beta 90.00
_cell_angle_gamma 90.00
loop_
_atom_site_label
_atom_site_type_symbol
_atom_site_fract_x
_atom_site_fract_y
_atom_site_fract_z
Te1 Te 0.000 0.000 0.000
P1 P 0.000 0.500 0.000
Ru1 Ru 0.500 0.500 0.500
S1 S 0.000 0.000 0.500